Below is a relaxed structure of Ac6La12Nd, with properties calculated at the PBE-GGA level.

The value obtained for the formation energy is 3.64 eV per formula unit. The density of states at the Fermi level is 2.17 states/eV per atom.

It has space group R-3m (No. 166, hexagonal axes), with a = 14.3352 Å, b = 14.3352 Å, c = 12.9789 Å, α = 90.00°, β = 90.00° and γ = 120.00°. The distinct sites, in fractional coordinates, are Ac at (0.0457, 0.5229, 0.1261), La at (0.0000, 0.2467, 0.0000), La at (0.0924, 0.1849, 0.7600) and Nd at (0.0000, 0.0000, 0.5000).

Below is a relaxed structure of AcLaNd4, with properties calculated at the PBE-GGA level.

The value obtained for the formation energy is 0.25 eV per formula unit. The density of states at the Fermi level is 1.53 states/eV per atom.

It has space group Cmmm (No. 65), with a = 5.905 Å, b = 10.245 Å, c = 7.324 Å, α = 90.00°, β = 90.00° and γ = 90.00°. The distinct sites, in fractional coordinates, are Ac at (0.000, 0.000, 0.000), La at (0.000, 0.000, 0.500) and Nd at (0.000, 0.333, 0.254).

Below is a relaxed structure of Ac2LaNd8, with properties calculated at the PBE-GGA level.

The value obtained for the formation energy is 0.28 eV per formula unit. The density of states at the Fermi level is 1.76 states/eV per atom.

It has space group C2/m (No. 12), with a = 19.041 Å, b = 5.317 Å, c = 8.382 Å, α = 90.00°, β = 105.40° and γ = 90.00°. The distinct sites, in fractional coordinates, are Ac at (0.227, 0.000, 0.141), La at (0.000, 0.500, 0.500), Nd at (0.043, 0.000, 0.227), Nd at (0.088, 0.500, 0.953), Nd at (0.134, 0.000, 0.674) and Nd at (0.179, 0.500, 0.406).

Below is a relaxed structure of Ac3La2Nd7, with properties calculated at the PBE-GGA level.

The value obtained for the formation energy is 2.58 eV per formula unit. The density of states at the Fermi level is 1.53 states/eV per atom.

It has space group P2/m (No. 10), with a = 3.833 Å, b = 5.970 Å, c = 20.899 Å, α = 90.00°, β = 95.07° and γ = 90.00°. The distinct sites, in fractional coordinates, are Ac at (0.000, 0.000, 0.000), Ac at (0.318, 0.500, 0.630), La at (0.135, 0.000, 0.282), Nd at (0.080, 0.500, 0.173), Nd at (0.219, 0.000, 0.435), Nd at (0.434, 0.000, 0.859) and Nd at (0.500, 0.500, 0.000).

Below is a relaxed structure of Ac4LaNd3, with properties calculated at the PBE-GGA level.

The value obtained for the formation energy is 0.22 eV per formula unit. The density of states at the Fermi level is 1.79 states/eV per atom.

It has space group Pmn2_1 (No. 31), with a = 10.994 Å, b = 7.644 Å, c = 7.644 Å, α = 90.00°, β = 90.00° and γ = 90.00°. The distinct sites, in fractional coordinates, are Ac at (0.000, 0.001, 0.000), Ac at (0.000, 0.499, 0.498), Ac at (0.249, 0.749, 0.749), La at (0.000, 0.000, 0.499), Nd at (0.000, 0.500, 0.000) and Nd at (0.250, 0.251, 0.749).

Below is a relaxed structure of Ac2LaNdP4, with properties calculated at the PBE-GGA level.

The value obtained for the formation energy is -11.98 eV per formula unit. The density of states at the Fermi level is 0.09 states/eV per atom.

It has space group P2/m (No. 10), with a = 7.507 Å, b = 4.337 Å, c = 7.515 Å, α = 90.00°, β = 109.41° and γ = 90.00°. The distinct sites, in fractional coordinates, are Ac at (0.000, 0.000, 0.000), Ac at (0.500, 0.500, 0.000), La at (0.000, 0.500, 0.500), Nd at (0.500, 0.000, 0.500), P at (0.248, 0.000, 0.739) and P at (0.256, 0.500, 0.262).

Below is a relaxed structure of AcLa2Nd3P6, with properties calculated at the PBE-GGA level.

The value obtained for the formation energy is -18.34 eV per formula unit. The density of states at the Fermi level is 0.08 states/eV per atom.

It has space group C2/m (No. 12), with a = 7.363 Å, b = 12.751 Å, c = 7.370 Å, α = 90.00°, β = 109.44° and γ = 90.00°. The distinct sites, in fractional coordinates, are Ac at (0.000, 0.000, 0.000), La at (0.000, 0.333, 0.000), Nd at (0.000, 0.166, 0.500), Nd at (0.000, 0.500, 0.500), P at (0.245, 0.331, 0.743) and P at (0.247, 0.500, 0.258).

Below is a relaxed structure of AcLaNdPb, with properties calculated at the PBE-GGA level.

The value obtained for the formation energy is -0.59 eV per formula unit. The density of states at the Fermi level is 1.74 states/eV per atom.

It has space group F-43m (No. 216), with a = 8.176 Å, b = 8.176 Å, c = 8.176 Å, α = 90.00°, β = 90.00° and γ = 90.00°. The distinct sites, in fractional coordinates, are Ac at (0.000, 0.000, 0.000), La at (0.250, 0.250, 0.250), Nd at (0.250, 0.250, 0.750) and Pb at (0.000, 0.000, 0.500).

Below is a relaxed structure of AcLaPm2Nd6, with properties calculated at the PBE-GGA level.

The value obtained for the formation energy is 1.14 eV per formula unit. The density of states at the Fermi level is 1.52 states/eV per atom.

It has space group C2/c (No. 15), with a = 9.378 Å, b = 15.824 Å, c = 9.984 Å, α = 90.00°, β = 96.58° and γ = 90.00°. The distinct sites, in fractional coordinates, are Ac at (0.000, 0.026, 0.250), La at (0.000, 0.407, 0.750), Pm at (0.248, 0.057, 0.544), Nd at (0.066, 0.187, 0.945), Nd at (0.102, 0.396, 0.119) and Nd at (0.206, 0.232, 0.319).

Below is a relaxed structure of AcLaPm4Nd2, with properties calculated at the PBE-GGA level.

The value obtained for the formation energy is 0.18 eV per formula unit. The density of states at the Fermi level is 1.65 states/eV per atom.

It has space group Pmm2 (No. 25), with a = 7.446 Å, b = 7.448 Å, c = 10.452 Å, α = 90.00°, β = 90.00° and γ = 90.00°. The distinct sites, in fractional coordinates, are Ac at (0.000, 0.000, 0.000), Ac at (0.000, 0.500, 0.500), La at (0.000, 0.000, 0.501), La at (0.500, 0.000, 0.500), Pm at (0.254, 0.251, 0.249), Pm at (0.255, 0.252, 0.752), Nd at (0.000, 0.500, 0.000), Nd at (0.500, 0.000, 0.000), Nd at (0.500, 0.500, 0.001) and Nd at (0.500, 0.500, 0.500).

Below is a relaxed structure of AcLa5Pm2Nd, with properties calculated at the PBE-GGA level.

The value obtained for the formation energy is 1.99 eV per formula unit. The density of states at the Fermi level is 1.78 states/eV per atom.

It has space group P4/mbm (No. 127), with a = 8.133 Å, b = 8.133 Å, c = 10.364 Å, α = 90.00°, β = 90.00° and γ = 90.00°. The distinct sites, in fractional coordinates, are Ac at (0.000, 0.000, 0.000), La at (0.000, 0.000, 0.500), La at (0.199, 0.301, 0.244), Pm at (0.130, 0.630, 0.500) and Nd at (0.000, 0.500, 0.000).

Below is a relaxed structure of Ac2La2PmNd, with properties calculated at the PBE-GGA level.

The value obtained for the formation energy is 1.41 eV per formula unit. The density of states at the Fermi level is 1.76 states/eV per atom.

It has space group Pnnm (No. 58), with a = 6.892 Å, b = 18.864 Å, c = 3.659 Å, α = 90.00°, β = 90.00° and γ = 90.00°. The distinct sites, in fractional coordinates, are Ac at (0.220, 0.188, 0.000), La at (0.213, 0.362, 0.500), Pm at (0.000, 0.500, 0.000) and Nd at (0.000, 0.000, 0.000).

Below is a relaxed structure of Ac6La3PmNd2, with properties calculated at the PBE-GGA level.

The value obtained for the formation energy is 0.29 eV per formula unit. The density of states at the Fermi level is 1.66 states/eV per atom.

It has space group C2/m (No. 12), with a = 6.709 Å, b = 11.637 Å, c = 12.595 Å, α = 90.00°, β = 100.28° and γ = 90.00°. The distinct sites, in fractional coordinates, are Ac at (0.249, 0.000, 0.247), Ac at (0.249, 0.333, 0.247), La at (0.000, 0.000, 0.500), La at (0.000, 0.333, 0.500), Pm at (0.000, 0.500, 0.000) and Nd at (0.000, 0.167, 0.000).

Below is a relaxed structure of AcLaPmNd3, with properties calculated at the PBE-GGA level.

The value obtained for the formation energy is 1.13 eV per formula unit. The density of states at the Fermi level is 1.42 states/eV per atom.

It has space group C2/m (No. 12), with a = 20.897 Å, b = 5.930 Å, c = 7.226 Å, α = 90.00°, β = 90.81° and γ = 90.00°. The distinct sites, in fractional coordinates, are Ac at (0.148, 0.000, 0.043), La at (0.142, 0.000, 0.495), Pm at (0.053, 0.500, 0.272), Nd at (0.019, 0.000, 0.750), Nd at (0.160, 0.500, 0.757) and Nd at (0.219, 0.500, 0.275).

Below is a relaxed structure of AcLa2Pm4Nd, with properties calculated at the PBE-GGA level.

The value obtained for the formation energy is 0.17 eV per formula unit. The density of states at the Fermi level is 1.63 states/eV per atom.

It has space group P2/m (No. 10), with a = 5.273 Å, b = 5.308 Å, c = 10.409 Å, α = 90.00°, β = 90.11° and γ = 90.00°. The distinct sites, in fractional coordinates, are Ac at (0.000, 0.000, 0.000), La at (0.000, 0.000, 0.500), La at (0.500, 0.500, 0.000), Pm at (0.000, 0.500, 0.255), Pm at (0.500, 0.000, 0.255) and Nd at (0.500, 0.500, 0.500).

Below is a relaxed structure of AcLaPmNd, with properties calculated at the PBE-GGA level.

The value obtained for the formation energy is 0.09 eV per formula unit. The density of states at the Fermi level is 1.62 states/eV per atom.

It has space group I-4m2 (No. 119), with a = 5.370 Å, b = 5.370 Å, c = 10.493 Å, α = 90.00°, β = 90.00° and γ = 90.00°. The distinct sites, in fractional coordinates, are Ac at (0.000, 0.000, 0.000), La at (0.000, 0.000, 0.500), Pm at (0.000, 0.500, 0.750) and Nd at (0.000, 0.500, 0.250).

Below is a relaxed structure of Ac2La5PmNd, with properties calculated at the PBE-GGA level.

The value obtained for the formation energy is 0.86 eV per formula unit. The density of states at the Fermi level is 1.51 states/eV per atom.

It has space group Cmc2_1 (No. 36), with a = 5.723 Å, b = 22.841 Å, c = 10.640 Å, α = 90.00°, β = 90.00° and γ = 90.00°. The distinct sites, in fractional coordinates, are Ac at (0.000, 0.115, 0.000), Ac at (0.000, 0.116, 0.526), La at (0.000, 0.002, 0.263), La at (0.000, 0.278, 0.573), La at (0.000, 0.278, 0.952), La at (0.000, 0.380, 0.263), La at (0.000, 0.500, 0.013), Pm at (0.000, 0.219, 0.263) and Nd at (0.000, 0.398, 0.763).

Below is a relaxed structure of AcLa2PmNd4, with properties calculated at the PBE-GGA level.

The value obtained for the formation energy is 0.16 eV per formula unit. The density of states at the Fermi level is 1.71 states/eV per atom.

It has space group P2/m (No. 10), with a = 5.278 Å, b = 5.309 Å, c = 10.495 Å, α = 90.00°, β = 90.10° and γ = 90.00°. The distinct sites, in fractional coordinates, are Ac at (0.000, 0.000, 0.000), La at (0.000, 0.000, 0.500), La at (0.500, 0.500, 0.000), Pm at (0.500, 0.500, 0.500), Nd at (0.000, 0.500, 0.256) and Nd at (0.500, 0.000, 0.256).

Below is a relaxed structure of AcLa4PmNd2, with properties calculated at the PBE-GGA level.

The value obtained for the formation energy is 0.18 eV per formula unit. The density of states at the Fermi level is 1.91 states/eV per atom.

It has space group C2/m (No. 12), with a = 11.834 Å, b = 5.287 Å, c = 10.641 Å, α = 90.00°, β = 116.75° and γ = 90.00°. The distinct sites, in fractional coordinates, are Ac at (0.000, 0.000, 0.000), La at (0.247, 0.000, 0.870), La at (0.249, 0.500, 0.622), Pm at (0.000, 0.000, 0.500) and Nd at (0.001, 0.500, 0.745).

Below is a relaxed structure of AcLaPmNd2, with properties calculated at the PBE-GGA level.

The value obtained for the formation energy is 1.08 eV per formula unit. The density of states at the Fermi level is 1.77 states/eV per atom.

It has space group P2/c (No. 13), with a = 8.161 Å, b = 7.198 Å, c = 6.467 Å, α = 90.00°, β = 92.47° and γ = 90.00°. The distinct sites, in fractional coordinates, are Ac at (0.000, 0.166, 0.250), La at (0.500, 0.000, 0.000), Pm at (0.500, 0.406, 0.250) and Nd at (0.205, 0.322, 0.763).

Below is a relaxed structure of AcLaPmNd, with properties calculated at the PBE-GGA level.

The value obtained for the formation energy is 0.59 eV per formula unit. The density of states at the Fermi level is 2.19 states/eV per atom.

It has space group F-43m (No. 216), with a = 8.486 Å, b = 8.486 Å, c = 8.486 Å, α = 90.00°, β = 90.00° and γ = 90.00°. The distinct sites, in fractional coordinates, are Ac at (0.000, 0.000, 0.000), La at (0.250, 0.250, 0.250), Pm at (0.000, 0.000, 0.500) and Nd at (0.250, 0.250, 0.750).